{"formula": "MnS2NF", "functional": "GGA+U", "state": "optimized geometry", "n_ef_per_ev_cell": 4.5, "vol_a3_per_cell": 72.0, "de_polymorph_mev_per_atom": 0.0, "magnetic_moment_mub_per_cell": 2.30, "lattice": [[4.559, 0.000, 0.000], [0.000, 4.559, 0.000], [0.000, 0.000, 3.465]], "species": ["Mn", "S", "S", "N", "F"], "fractional_positions": [[0.000, 0.000, 0.000], [0.000, 0.500, 0.000], [0.500, 0.000, 0.000], [0.000, 0.000, 0.500], [0.500, 0.500, 0.500]]}

***

{"formula": "CrAgB2F8", "functional": "GGA+U", "state": "optimized geometry", "n_ef_per_ev_cell": 6.6, "vol_a3_per_cell": 180.1, "e_tot_ev_per_atom": -5.55, "magnetic_moment_mub_per_cell": 5.00, "lattice": [[5.252, 0.000, 0.000], [-2.626, 4.549, 0.000], [0.000, 0.000, 7.538]], "species": ["Cr", "Ag", "B", "B", "F", "F", "F", "F", "F", "F", "F", "F"], "fractional_positions": [[0.000, 0.000, 0.000], [0.000, 0.000, 0.500], [0.333, 0.667, 0.704], [0.667, 0.333, 0.296], [0.186, 0.372, 0.769], [0.186, 0.814, 0.769], [0.333, 0.667, 0.519], [0.372, 0.186, 0.231], [0.628, 0.814, 0.769], [0.667, 0.333, 0.481], [0.814, 0.186, 0.231], [0.814, 0.628, 0.231]]}